Computed, not measured: Pm8Ga3OsI4 after structural relaxation at the GGA-PBE level of DFT.

a b c (Å): 8.6284 8.6284 23.2952
angles (deg): 90.00 90.00 120.00
With the nearest neighbours (Å) after each atom.
Space group R-3m (No. 166, hexagonal axes)
Asymmetric unit:
Pm  0.0000  0.0000  0.2377 (multiplicity 6)  3 Ga 2.99, 3 I 3.34
Pm  0.0175  0.5087  0.2317 (multiplicity 18)  1 Os 2.80, 2 Ga 2.97
Ga  0.0000  0.5000  0.5000 (multiplicity 9)  6 Pm 2.97-2.99
Os  0.0000  0.0000  0.5000 (multiplicity 3)  6 Pm 2.80
I  0.0000  0.0000  0.0000 (multiplicity 3)  6 Pm 3.53
I  0.0000  0.5000  0.0000 (multiplicity 9)  6 Pm 3.34-3.39

Summary:
Uncorrected formation energy ... -11.25 eV per formula unit
DFT total energy ... -4.74 eV per atom
Total moment ... 0.000 μB per cell